Record 1
Below is a relaxed structure of TbErIr2, with properties calculated at the PBE level.

Properties
The calculation puts the total DFT energy (no corrections) at -59.8 eV for the cell shown. As for the space-group type: Pmc2_1, No. 26. The spin magnetization comes out at 0.01 μB per formula unit.

Structure (POSCAR):
```
TbErIr2
1.0
4.2472 0.0000 0.0000
0.0000 5.5792 0.0000
0.0000 0.0000 7.2547
Ir Er Tb
4 2 2
Cartesian
2.1236 2.1672 6.9716
2.1236 3.4120 3.3442
0.0000 0.6604 0.2775
0.0000 4.9188 3.9049
0.0000 2.0692 4.9121
0.0000 3.5101 1.2848
2.1236 0.7155 2.3482
2.1236 4.8638 5.9756
```


Record 2
Below is a relaxed structure of TbErIr, with properties calculated at the PBE level.

Properties
The calculation puts the total DFT energy (no corrections) at -17.6 eV for the cell shown. As for the space-group type: F-43m, No. 216. The spin magnetization comes out at 0.00 μB per formula unit.

Structure (POSCAR):
```
TbErIr
1.0
-3.9375 2.5035 -0.4374
-0.7180 2.5859 -3.8419
-3.2593 -1.2836 -3.1132
Tb Ir Er
1 1 1
Cartesian
-5.9361 2.8544 -5.5443
-1.9787 0.9515 -1.8481
0.0000 0.0000 0.0000
```


Record 3
Below is a relaxed structure of Er2Tc3Ir, with properties calculated at the PBE level.

Properties
The calculation puts the total DFT energy (no corrections) at -103.5 eV for the cell shown. As for the space-group type: P6_3/mmc, No. 194. The spin magnetization comes out at 0.00 μB per formula unit.

Structure (POSCAR):
```
Er2Tc3Ir
1.0
5.2110 0.0000 0.0000
-2.6055 4.5129 0.0000
0.0000 0.0000 9.2133
Tc Ir Er
6 2 4
Cartesian
2.6055 2.9775 6.9099
0.0000 1.5354 2.3033
1.2758 3.7452 2.3033
3.8813 0.7677 6.9099
-1.2758 3.7452 2.3033
1.3297 0.7677 6.9099
0.0000 0.0000 4.6066
0.0000 0.0000 0.0000
2.6055 1.5043 4.0130
2.6055 1.5043 0.5936
0.0000 3.0086 8.6196
0.0000 3.0086 5.2003
```


Record 4
Below is a relaxed structure of Er5Te3Ir, with properties calculated at the PBE level.

Properties
As for the space-group type: P-62m, No. 189. The spin magnetization comes out at 0.99 μB per formula unit. The calculation puts the energy above the most stable polymorph in this dataset at 0.0 meV per atom.

Structure (POSCAR):
```
Er5Te3Ir
1.0
-2.5404 -7.8349 2.5352
8.2024 1.3432 -2.2769
0.8485 0.8824 3.5772
Er Ir Te
5 1 3
Cartesian
1.4648 -4.3343 2.7198
5.0457 -1.2750 1.1158
4.7792 -4.5520 1.9873
-0.1622 -1.3674 2.3738
2.3176 0.7513 1.2630
0.0000 0.0000 0.0000
4.6178 0.7562 -1.2818
2.4744 -2.8370 0.1129
-1.4302 -4.4109 1.4273
```


Record 5
Below is a relaxed structure of Er5Te3Ir, with properties calculated at the PBE level.

Properties
As for the space-group type: P-62m, No. 189. The spin magnetization comes out at 0.03 μB per formula unit. The calculation puts the energy above the most stable polymorph in this dataset at 208.2 meV per atom.

Structure (POSCAR):
```
Er5Te3Ir
1.0
-7.2910 -3.4883 -1.0799
5.7343 -3.8079 4.3716
-1.3957 1.8513 3.4434
Te Er Ir
3 5 1
Cartesian
-2.6394 -0.0032 1.4341
-1.8400 -4.4276 4.1368
0.8291 -0.0884 2.8858
-4.8519 -2.3213 -0.7186
-0.5208 -2.4408 1.1012
0.6947 -2.7757 4.2761
-3.6471 -2.6692 2.4590
3.8160 -2.5340 2.9091
0.0000 0.0000 0.0000
```


Record 6
Below is a relaxed structure of Er7Te2Ir2, with properties calculated at the PBE level.

Properties
The calculation puts the total DFT energy (no corrections) at -66.1 eV for the cell shown. As for the space-group type: Imm2, No. 44. The spin magnetization comes out at 0.01 μB per formula unit.

Structure (POSCAR):
```
Er7Te2Ir2
1.0
3.4997 -6.0644 6.1431
4.3775 8.0989 -1.4164
-6.3857 -5.6711 3.7180
Er Te Ir
7 2 2
Cartesian
2.5018 0.6462 1.5012
-0.2141 -2.6280 5.8928
3.5985 -2.9572 6.2591
1.9716 -0.0462 5.0764
5.4105 -0.0515 4.7751
3.0371 4.2864 1.4357
-0.7459 -0.3277 3.0023
-0.7986 -5.7013 5.3172
7.7248 1.9952 4.6353
-3.7644 -2.3817 2.5354
1.2494 -2.2896 3.5053
```


Record 7
Below is a relaxed structure of Er3Tm3Te2Ir, with properties calculated at the PBE level.

Properties
As for the space-group type: P-62m, No. 189. The spin magnetization comes out at 0.12 μB per formula unit. The calculation puts the energy above the most stable polymorph in this dataset at 19.9 meV per atom.

Structure (POSCAR):
```
Er3Tm3Te2Ir
1.0
8.2619 0.0000 0.0000
-4.1309 7.1550 0.0000
0.0000 0.0000 3.9509
Tm Te Ir Er
3 2 1 3
Cartesian
-1.6249 2.8144 0.0000
3.2498 0.0000 0.0000
2.5061 4.3406 0.0000
0.0000 4.7700 1.9754
4.1309 2.3850 1.9754
0.0000 0.0000 0.0000
-3.1316 5.4241 1.9754
0.9993 1.7309 1.9754
6.2633 0.0000 1.9754
```


Record 8
Below is a relaxed structure of Er3Tm3Te2Ir, with properties calculated at the PBE level.

Properties
As for the space-group type: P-62m, No. 189. The spin magnetization comes out at 0.12 μB per formula unit. The calculation puts the energy above the most stable polymorph in this dataset at 0.0 meV per atom.

Structure (POSCAR):
```
Er3Tm3Te2Ir
1.0
8.2522 0.0000 0.0000
-4.1261 7.1466 0.0000
0.0000 0.0000 3.9499
Er Tm Te Ir
3 3 2 1
Cartesian
2.5029 4.3352 0.0000
-1.6231 2.8114 0.0000
3.2463 0.0000 0.0000
0.9962 1.7256 1.9749
6.2597 0.0000 1.9749
-3.1298 5.4210 1.9749
0.0000 4.7644 1.9749
4.1261 2.3822 1.9749
0.0000 0.0000 0.0000
```


Record 9
Below is a relaxed structure of ErThIr, with properties calculated at the PBE level.

Properties
As for the space-group type: F-43m, No. 216. The spin magnetization comes out at 0.00 μB per formula unit. The calculation puts the energy above the most stable polymorph in this dataset at 0.0 meV per atom.

Structure (POSCAR):
```
ErThIr
1.0
2.4450 1.4116 3.9927
-2.4450 1.4116 3.9927
0.0000 -2.8233 3.9927
Th Er Ir
1 1 1
Cartesian
0.0000 0.0000 2.9945
0.0000 0.0000 8.9837
0.0000 0.0000 0.0000
```


Record 10
Below is a relaxed structure of Er2Tl8Ir, with properties calculated at the PBE level.

Properties
The calculation puts the total DFT energy (no corrections) at -37.7 eV for the cell shown. As for the space-group type: P4/mmm, No. 123. The spin magnetization comes out at 0.01 μB per formula unit.

Structure (POSCAR):
```
Er2Tl8Ir
1.0
-4.1321 -2.1437 -0.9766
1.4908 -0.8529 -4.4354
4.7244 -10.7737 3.6597
Er Tl Ir
2 8 1
Cartesian
3.8014 -8.6688 2.9447
0.9230 -2.1048 0.7150
-0.3031 -5.0920 0.8773
-0.4400 -3.5065 -2.0238
-2.0660 -1.0719 -0.4883
3.7069 -7.1800 0.0764
0.7454 -0.4265 -2.2177
2.5232 -10.2638 0.2715
0.8955 -7.8254 1.8058
2.5083 -4.4466 -0.8521
2.3622 -5.3868 1.8299
```


Record 11
Below is a relaxed structure of Er2TlIr, with properties calculated at the PBE level.

Properties
The calculation puts the total DFT energy (no corrections) at -22.9 eV for the cell shown. As for the space-group type: P4/mmm, No. 123. The spin magnetization comes out at 0.01 μB per formula unit.

Structure (POSCAR):
```
Er2TlIr
1.0
-1.0183 2.8521 -1.6826
0.4103 -1.6381 -3.0250
-7.3378 -2.4304 0.3209
Er Tl Ir
2 1 1
Cartesian
-5.7866 -1.9166 0.2531
-1.5513 -0.5138 0.0678
-3.9729 -0.6082 -2.1933
-0.3040 0.6070 -2.3538
```


Record 12
Below is a relaxed structure of ErUIr, with properties calculated at the PBE level.

Properties
As for the space-group type: F-43m, No. 216. The spin magnetization comes out at 3.26 μB per formula unit. The calculation puts the energy above the most stable polymorph in this dataset at 0.0 meV per atom.

Structure (POSCAR):
```
ErUIr
1.0
-4.3599 -0.2595 1.8374
-0.9681 -3.1967 3.3609
-0.7808 1.4096 4.4559
Er U Ir
1 1 1
Cartesian
-4.5816 -1.5350 7.2407
-1.5272 -0.5117 2.4136
0.0000 0.0000 0.0000
```


Record 13
Below is a relaxed structure of YErIr, with properties calculated at the PBE level.

Properties
As for the space-group type: Pnma, No. 62. The spin magnetization comes out at 0.02 μB per formula unit. The calculation puts the energy above the most stable polymorph in this dataset at 0.0 meV per atom.

Structure (POSCAR):
```
YErIr
1.0
-6.3336 1.5059 3.1020
-0.0590 -4.1782 1.9080
4.1528 3.1214 6.9637
Er Y Ir
4 4 4
Cartesian
-0.6198 -2.6739 2.4199
0.1231 1.2999 5.6153
-2.3629 -0.8508 6.3584
-1.6199 3.1231 9.5538
-2.4322 0.2082 3.1457
2.6534 -1.0427 6.0933
0.1925 0.2409 8.8280
-4.8931 1.4918 5.8804
0.0700 -1.4936 5.0260
-4.3905 -1.7131 4.4076
2.1507 2.1622 7.5661
-2.3098 1.9427 6.9478
```


Record 14
Below is a relaxed structure of YErIr, with properties calculated at the PBE level.

Properties
As for the space-group type: Pnma, No. 62. The spin magnetization comes out at 0.01 μB per formula unit. The calculation puts the energy above the most stable polymorph in this dataset at 27.7 meV per atom.

Structure (POSCAR):
```
YErIr
1.0
-3.6395 -6.1848 0.2704
2.1700 -1.1067 3.8919
-6.3378 3.9329 4.6520
Er Ir Y
4 4 4
Cartesian
-0.5554 0.4518 4.5005
-1.2410 -3.3445 3.8033
-7.2518 -3.8105 4.3139
-6.5663 -0.0143 5.0111
-6.8044 -1.8301 7.3358
-3.0004 0.0310 5.7441
-1.0028 -1.5287 1.4786
-4.8068 -3.3898 3.0703
-3.1017 -5.2614 1.5873
-4.3979 -2.5099 5.8008
-3.4093 -0.8488 3.0136
-4.7056 1.9027 7.2271
```


Record 15
Below is a relaxed structure of YErIr, with properties calculated at the PBE level.

Properties
As for the space-group type: F-43m, No. 216. The spin magnetization comes out at 0.00 μB per formula unit. The calculation puts the energy above the most stable polymorph in this dataset at 917.7 meV per atom.

Structure (POSCAR):
```
YErIr
1.0
0.0000 3.3154 3.3154
3.3154 0.0000 3.3154
3.3154 3.3154 0.0000
Ir Y Er
1 1 1
Cartesian
1.6577 1.6577 1.6577
4.9731 4.9731 4.9731
0.0000 0.0000 0.0000
```


Record 16
Below is a relaxed structure of YErZnIr2, with properties calculated at the PBE level.

Properties
The calculation puts the total DFT energy (no corrections) at -34.0 eV for the cell shown. As for the space-group type: Imm2, No. 44. The spin magnetization comes out at 0.01 μB per formula unit.

Structure (POSCAR):
```
YErZnIr2
1.0
-2.0803 2.9021 4.1483
2.0803 -2.9021 4.1483
2.0803 2.9021 -4.1483
Y Er Zn Ir
1 1 1 2
Cartesian
0.0000 0.0000 6.6076
0.0000 0.0000 1.6885
2.0803 0.0000 4.1442
0.0000 1.5722 4.1506
2.0803 1.3298 0.0023
```


Record 17
Below is a relaxed structure of ErZnIr, with properties calculated at the PBE level.

Properties
The calculation puts the total DFT energy (no corrections) at -14.5 eV for the cell shown. As for the space-group type: F-43m, No. 216. The spin magnetization comes out at 0.00 μB per formula unit.

Structure (POSCAR):
```
ErZnIr
1.0
0.4446 -4.4821 -0.6990
-3.6363 -2.5004 -1.1405
-0.3681 -1.6969 -4.2144
Er Zn Ir
1 1 1
Cartesian
0.0000 0.0000 0.0000
-2.6699 -6.5096 -4.5404
-0.8899 -2.1699 -1.5135
```


Record 18
Below is a relaxed structure of ErZn4Ir, with properties calculated at the PBE level.

Properties
The calculation puts the total DFT energy (no corrections) at -21.1 eV for the cell shown. As for the space-group type: F-43m, No. 216. The spin magnetization comes out at 0.00 μB per formula unit.

Structure (POSCAR):
```
ErZn4Ir
1.0
1.0489 -4.8994 0.8185
-0.5372 -1.9687 4.6487
-3.7598 -3.2765 0.9502
Zn Er Ir
4 1 1
Cartesian
-0.6865 -6.2630 2.8128
-1.2150 -3.7946 2.4004
-1.4856 -4.7865 4.7425
-3.1092 -5.4454 2.8791
-2.4361 -7.6085 4.8130
0.0000 0.0000 0.0000
```


Record 19
Below is a relaxed structure of ErZnIr, with properties calculated at the PBE level.

Properties
The calculation puts the total DFT energy (no corrections) at -16.2 eV for the cell shown. As for the space-group type: F-43m, No. 216. The spin magnetization comes out at 0.00 μB per formula unit.

Structure (POSCAR):
```
ErZnIr
1.0
2.2497 1.2988 3.6737
-2.2497 1.2988 3.6737
0.0000 -2.5977 3.6737
Ir Er Zn
1 1 1
Cartesian
0.0000 0.0000 0.0000
0.0000 0.0000 8.2658
0.0000 0.0000 2.7552
```


Record 20
Below is a relaxed structure of ErZnIr3, with properties calculated at the PBE level.

Properties
The calculation puts the total DFT energy (no corrections) at -23.2 eV for the cell shown. As for the space-group type: Pm-3m, No. 221. The spin magnetization comes out at 1.41 μB per formula unit.

Structure (POSCAR):
```
ErZnIr3
1.0
-3.4560 -2.3972 -2.5363
-1.7165 -1.9403 4.1728
-3.0386 3.8225 0.5275
Zn Ir Er
1 3 1
Cartesian
-4.1055 -0.2575 1.0820
-1.5193 1.9113 0.2637
-1.7280 -1.1986 -1.2681
-0.8582 -0.9701 2.0864
0.0000 0.0000 0.0000
```